[1]
The following is a PBE calculation of KLiRu3 after structural relaxation, from Alexandria via LeMat-Bulk.

Summary:
Relative energy among the computed polymorphs (eV/atom): 0.000
Formation enthalpy at 0 K (eV/atom): 1.658
E (eV/atom): -4.51

a = 4.435 Å, b = 4.435 Å, c = 4.435 Å
α = 90.00°, β = 90.00°, γ = 90.00°
Element x y z (fractional)
1 K 0.000 0.000 0.000
2 Li 0.500 0.500 0.500
3 Ru 0.000 0.500 0.500
4 Ru 0.500 0.000 0.500
5 Ru 0.500 0.500 0.000

***

[2]
The following is a PBE calculation of EuGeSb after structural relaxation, from Alexandria via LeMat-Bulk.

Summary:
Formation energy (no corrections) (eV per atom): -0.511
Relative energy among the computed polymorphs (eV/atom): 0.000
E (eV/atom): -6.85

a = 4.830 Å, b = 4.830 Å, c = 4.216 Å
α = 90.00°, β = 90.00°, γ = 120.00°
Element x y z (fractional)
1 Eu 0.000 0.000 0.000
2 Ge 0.333 0.667 0.500
3 Sb 0.667 0.333 0.500

***

[3]
The following is a PBE calculation of Os2C after structural relaxation, from Alexandria via LeMat-Bulk.

Summary:
Relative energy among the computed polymorphs (eV/atom): 0.195
Formation enthalpy at 0 K (eV/atom): 0.699
E (eV/atom): -9.86

a = 4.941 Å, b = 4.941 Å, c = 5.084 Å
α = 90.00°, β = 90.00°, γ = 120.00°
Element x y z (fractional)
1 Os 0.000 0.349 0.235
2 Os 0.000 0.651 0.765
3 Os 0.349 0.000 0.235
4 Os 0.349 0.349 0.765
5 Os 0.651 0.000 0.765
6 Os 0.651 0.651 0.235
7 C 0.000 0.000 0.000
8 C 0.333 0.667 0.500
9 C 0.667 0.333 0.500

***

[4]
The following is a PBE calculation of CePmMgRh after structural relaxation, from Alexandria via LeMat-Bulk.

Summary:
Formation enthalpy at 0 K (eV/atom): -0.241
E (eV/atom): -5.15

a = 5.156 Å, b = 5.156 Å, c = 5.156 Å
α = 60.00°, β = 60.00°, γ = 60.00°
Element x y z (fractional)
1 Ce 0.000 0.000 0.000
2 Pm 0.500 0.500 0.500
3 Mg 0.250 0.250 0.250
4 Rh 0.750 0.750 0.750

***

[5]
The following is a PBE calculation of Ba8Au2S after structural relaxation, from Alexandria via LeMat-Bulk.

Summary:
Formation energy (no corrections) (eV per atom): -0.587
E (eV/atom): -2.96

a = 9.209 Å, b = 9.209 Å, c = 6.965 Å
α = 90.79°, β = 90.79°, γ = 74.28°
Element x y z (fractional)
1 Ba 0.101 0.687 0.762
2 Ba 0.172 0.172 0.746
3 Ba 0.313 0.899 0.238
4 Ba 0.385 0.385 0.267
5 Ba 0.615 0.615 0.733
6 Ba 0.687 0.101 0.762
7 Ba 0.828 0.828 0.254
8 Ba 0.899 0.313 0.238
9 Au 0.394 0.394 0.770
10 Au 0.606 0.606 0.230
11 S 0.000 0.000 0.000

***

[6]
The following is a PBE calculation of TlIn4H2 after structural relaxation, from Alexandria via LeMat-Bulk.

Summary:
E (eV/atom): -2.64

a = 8.962 Å, b = 8.962 Å, c = 3.375 Å
α = 90.00°, β = 90.00°, γ = 146.19°
Element x y z (fractional)
1 Tl 0.000 0.000 0.000
2 In 0.191 0.809 0.000
3 In 0.393 0.607 0.500
4 In 0.607 0.393 0.500
5 In 0.809 0.191 0.000
6 H 0.269 0.731 0.500
7 H 0.731 0.269 0.500

***

[7]
The following is a PBE calculation of TbScTlRu after structural relaxation, from Alexandria via LeMat-Bulk.

Summary:
Relative energy among the computed polymorphs (eV/atom): 0.000
Formation enthalpy at 0 K (eV/atom): -0.438
E (eV/atom): -6.09

a = 3.315 Å, b = 3.315 Å, c = 8.061 Å
α = 90.00°, β = 90.00°, γ = 90.00°
Element x y z (fractional)
1 Tb 0.000 0.000 0.000
2 Sc 0.000 0.000 0.597
3 Tl 0.500 0.500 0.317
4 Ru 0.500 0.500 0.777

***

[8]
The following is a PBE calculation of GdPaHg2 after structural relaxation, from Alexandria via LeMat-Bulk.

Summary:
Relative energy among the computed polymorphs (eV/atom): 0.088
Formation enthalpy at 0 K (eV/atom): -0.075
E (eV/atom): -6.12

a = 4.750 Å, b = 4.750 Å, c = 4.501 Å
α = 90.00°, β = 90.00°, γ = 90.00°
Element x y z (fractional)
1 Gd 0.000 0.000 0.000
2 Pa 0.500 0.500 0.000
3 Hg 0.000 0.500 0.500
4 Hg 0.500 0.000 0.500

***

[9]
The following is a PBE calculation of LaMn2Sb after structural relaxation, from Alexandria via LeMat-Bulk.

Summary:
Formation energy (no corrections) (eV per atom): 0.058
E (eV/atom): -6.79

a = 4.575 Å, b = 4.575 Å, c = 4.217 Å
α = 90.00°, β = 90.00°, γ = 90.00°
Element x y z (fractional)
1 La 0.000 0.000 0.000
2 Mn 0.000 0.500 0.500
3 Mn 0.500 0.000 0.500
4 Sb 0.500 0.500 0.000

***

[10]
The following is a PBE calculation of SrNi2Mo after structural relaxation, from Alexandria via LeMat-Bulk.

Summary:
Relative energy among the computed polymorphs (eV/atom): 0.096
Formation enthalpy at 0 K (eV/atom): 0.261
E (eV/atom): -5.76

a = 4.169 Å, b = 4.169 Å, c = 6.163 Å
α = 110.52°, β = 110.52°, γ = 60.09°
Element x y z (fractional)
1 Sr 0.000 0.000 0.000
2 Ni 0.512 0.512 0.551
3 Ni 0.805 0.805 0.435
4 Mo 0.181 0.181 0.559

***

[11]
The following is a PBE calculation of W3Au5 after structural relaxation, from Alexandria via LeMat-Bulk.

Summary:
Relative energy among the computed polymorphs (eV/atom): 0.253
Formation enthalpy at 0 K (eV/atom): 0.742
E (eV/atom): -6.16

a = 8.119 Å, b = 8.119 Å, c = 5.056 Å
α = 90.00°, β = 90.00°, γ = 120.00°
Element x y z (fractional)
1 W 0.000 0.423 0.250
2 W 0.000 0.577 0.750
3 W 0.423 0.000 0.250
4 W 0.423 0.423 0.750
5 W 0.577 0.000 0.750
6 W 0.577 0.577 0.250
7 Au 0.000 0.215 0.750
8 Au 0.000 0.785 0.250
9 Au 0.215 0.000 0.750
10 Au 0.215 0.215 0.250
11 Au 0.333 0.667 0.000
12 Au 0.333 0.667 0.500
13 Au 0.667 0.333 0.000
14 Au 0.667 0.333 0.500
15 Au 0.785 0.000 0.250
16 Au 0.785 0.785 0.750

***

[12]
The following is a PBE calculation of Th6BiOs3Se2 after structural relaxation, from Alexandria via LeMat-Bulk.

Summary:
Formation energy (no corrections) (eV per atom): -0.818
E (eV/atom): -8.24

a = 9.748 Å, b = 9.748 Å, c = 8.854 Å
α = 107.22°, β = 107.22°, γ = 24.75°
Element x y z (fractional)
1 Th 0.007 0.007 0.220
2 Th 0.321 0.321 0.434
3 Th 0.340 0.340 0.896
4 Th 0.660 0.660 0.104
5 Th 0.679 0.679 0.566
6 Th 0.993 0.993 0.780
7 Bi 0.500 0.500 0.500
8 Os 0.167 0.167 0.330
9 Os 0.500 0.500 0.000
10 Os 0.833 0.833 0.670
11 Se 0.169 0.169 0.837
12 Se 0.831 0.831 0.163